# 1
Density functional theory data (PBE) for crystalline In2IrAu at its relaxed geometry.

Lattice parameters (Å, degrees): 9.0180 3.2120 5.3900 90.00 101.36 90.00
Space group C2/m (No. 12)
Asymmetric unit:
1 In 0.2436 0.0000 0.2362 [4 per cell]
2 Ir 0.0000 0.5000 0.0000 [2 per cell]
3 Au 0.0000 0.0000 0.5000 [2 per cell]

**E above lowest polymorph**: 0.1194 eV/atom

=====

# 2
Density functional theory data (PBE) for crystalline InIr2Au at its relaxed geometry.

Lattice parameters (Å, degrees): 9.3433 2.9467 4.9921 90.00 101.72 90.00
Space group Cm (No. 8)
Asymmetric unit:
1 In 0.0000 0.0000 0.0000 [2 per cell]
2 Ir 0.0146 0.5000 0.5210 [2 per cell]
3 Ir 0.2530 0.0000 0.7163 [2 per cell]
4 Au 0.2568 0.5000 0.2393 [2 per cell]

**E**: -5.734 eV/atom

=====

# 3
Density functional theory data (PBE) for crystalline InIrAu at its relaxed geometry.

Lattice parameters (Å, degrees): 4.5118 4.5118 3.0485 90.00 90.00 120.00
Space group P3m1 (No. 156)
Asymmetric unit:
1 In 0.0000 0.0000 0.0000 [1 per cell]
2 Ir 0.6667 0.3333 0.3043 [1 per cell]
3 Au 0.3333 0.6667 0.7097 [1 per cell]

**E above lowest polymorph**: 0.0466 eV/atom

=====

# 4
Density functional theory data (PBE) for crystalline InIrAu3 at its relaxed geometry.

Lattice parameters (Å, degrees): 5.0893 5.0893 5.0893 90.00 90.00 90.00
Space group Pm-3m (No. 221)
Asymmetric unit:
1 In 0.0000 0.0000 0.0000 [1 per cell]
2 Ir 0.5000 0.5000 0.5000 [1 per cell]
3 Au 0.0000 0.5000 0.5000 [3 per cell]

**E above lowest polymorph**: 0.0000 eV/atom

=====

# 5
Density functional theory data (PBE) for crystalline In2Ir2Au at its relaxed geometry.

Lattice parameters (Å, degrees): 7.7956 7.7956 3.0354 90.00 90.00 90.00
Space group P4/mbm (No. 127)
Asymmetric unit:
1 In 0.1509 0.3491 0.0000 [4 per cell]
2 Ir 0.1461 0.6461 0.5000 [4 per cell]
3 Au 0.0000 0.0000 0.0000 [2 per cell]

**E above lowest polymorph**: 0.1394 eV/atom

=====

# 6
Density functional theory data (PBE) for crystalline InIrAu4 at its relaxed geometry.

Lattice parameters (Å, degrees): 7.7117 7.7117 7.7117 90.00 90.00 90.00
Space group F-43m (No. 216)
Asymmetric unit:
1 In 0.0000 0.0000 0.0000 [4 per cell]
2 Ir 0.2500 0.2500 0.7500 [4 per cell]
3 Au 0.1248 0.1248 0.3752 [16 per cell]

**E**: -3.703 eV/atom

=====

# 7
Density functional theory data (PBE) for crystalline In2IrAu at its relaxed geometry.

Lattice parameters (Å, degrees): 6.6839 6.6839 6.6839 90.00 90.00 90.00
Space group Fm-3m (No. 225)
Asymmetric unit:
1 In 0.2500 0.2500 0.2500 [8 per cell]
2 Ir 0.0000 0.0000 0.0000 [4 per cell]
3 Au 0.0000 0.0000 0.5000 [4 per cell]

**E above lowest polymorph**: 0.0689 eV/atom

=====

# 8
Density functional theory data (PBE) for crystalline InIr2Au at its relaxed geometry.

Lattice parameters (Å, degrees): 2.9453 2.9453 26.8321 90.00 90.00 120.00
Space group R-3m (No. 166, hexagonal axes)
Asymmetric unit:
1 In 0.0000 0.0000 0.0000 [3 per cell]
2 Ir 0.0000 0.0000 0.2518 [6 per cell]
3 Au 0.0000 0.0000 0.5000 [3 per cell]

**E**: -5.654 eV/atom

=====

| no. | total moment (μB per formula unit) |
| --- | --- |
| 1 | 0.00 |
| 2 | 0.00 |
| 3 | 0.00 |
| 4 | 0.00 |
| 5 | 0.00 |
| 6 | 0.00 |
| 7 | 0.00 |
| 8 | 0.00 |